Ba2YbInSe5 | PBE | relaxed

Cell and atoms, written as POSCAR:
```
Ba2YbInSe5
1.0
-9.2602 0.2697 -3.1077
9.0971 -3.5570 0.2695
-3.5577 -8.3505 9.8763
Yb Ba Se In
2 4 10 2
Cartesian
3.4329 -7.0679 4.6615 Yb
-5.4888 -0.6620 -2.2453 Yb
3.7661 -9.8532 7.8684 Ba
-7.9474 -2.8654 0.4481 Ba
6.2879 -4.6169 1.6586 Ba
-9.5176 -5.8682 4.0163 Ba
0.7637 -6.3786 4.0165 Se
-2.7155 -1.1072 -1.8890 Se
3.1711 -3.7546 0.8389 Se
-6.2344 -6.3400 4.3740 Se
0.2768 -9.6091 7.7862 Se
-4.8363 -3.9972 1.5802 Se
-2.8939 -8.0232 6.1316 Se
-0.9417 -3.8841 1.2253 Se
6.2053 -7.9692 5.5461 Se
-8.5142 -0.3547 -2.4273 Se
-2.4177 -9.6785 8.0214 In
-2.6357 -5.0870 2.7159 In
```

## Properties
total magnetic moment = 1.3 Bohr magnetons per cell
energy relative to the elements, uncorrected = -13.580 eV/f.u.

Tb3Ce2PrSe6 | PBE | relaxed

Cell and atoms, written as POSCAR:
```
Tb3Ce2PrSe6
1.0
-2.6628 4.6680 4.7375
-1.7081 -6.9428 0.4532
6.8768 -0.3064 2.3627
Tb Ce Pr Se
3 2 1 6
Cartesian
1.5748 -5.2047 2.3324 Tb
0.9311 2.6235 5.2210 Tb
1.2529 -1.2906 3.7767 Tb
-2.0264 -3.0722 1.8814 Ce
-2.3445 0.7975 3.3093 Ce
0.0000 0.0000 0.0000 Pr
1.6585 0.0386 6.3257 Se
-1.4915 -1.7839 4.5020 Se
0.8474 -2.6198 1.2277 Se
1.9803 -3.8749 4.8817 Se
3.9974 -0.7973 3.0514 Se
0.5256 1.2938 2.6717 Se
```

## Properties
total magnetic moment = 1.9 Bohr magnetons per cell
energy relative to the elements, uncorrected = -21.741 eV/f.u.